No. 1
Entry from Alexandria via LeMat-Bulk: a relaxed structure of TbAl2S4 (PBE).

abc: 7.655 7.655 6.041
angles: 90.00 90.00 90.00
Fractional coordinates of all 14 atoms:
Tb  0.000  0.000  0.000
Tb  0.500  0.500  0.500
Al  0.000  0.500  0.250
Al  0.000  0.500  0.750
Al  0.500  0.000  0.250
Al  0.500  0.000  0.750
S  0.148  0.667  0.000
S  0.167  0.352  0.500
S  0.333  0.148  0.000
S  0.352  0.833  0.500
S  0.648  0.167  0.500
S  0.667  0.852  0.000
S  0.833  0.648  0.500
S  0.852  0.333  0.000

Calculated values
Raw formation energy in meV/atom: -1098
Fermi-level density of states in states/eV/atom: 0.254
M_tot in μB/atom: 0.143
Energy above the most stable polymorph in this dataset in kJ/mol of formula units: 88



No. 2
Entry from Alexandria via LeMat-Bulk: a relaxed structure of CaSiP2I (PBE).

abc: 5.192 5.192 5.229
angles: 90.00 90.00 90.00
Fractional coordinates of all 5 atoms:
Ca  0.000  0.000  0.000
Si  0.500  0.500  0.000
P  0.000  0.500  0.500
P  0.500  0.000  0.500
I  0.500  0.500  0.500

Calculated values
Raw formation energy in meV/atom: 886
Fermi-level density of states in states/eV/atom: 0.850
M_tot in μB/atom: 0.000



No. 3
Entry from Alexandria via LeMat-Bulk: a relaxed structure of Ba6Na3Mg (PBE).

abc: 11.264 6.620 14.697
angles: 90.00 108.70 90.00
Fractional coordinates of all 20 atoms:
Ba  0.013  0.250  0.404
Ba  0.175  0.750  0.175
Ba  0.273  0.250  0.008
Ba  0.354  0.750  0.829
Ba  0.372  0.250  0.334
Ba  0.386  0.250  0.637
Ba  0.614  0.750  0.363
Ba  0.628  0.750  0.666
Ba  0.646  0.250  0.171
Ba  0.727  0.750  0.992
Ba  0.825  0.250  0.825
Ba  0.987  0.750  0.596
Na  0.030  0.750  0.884
Na  0.108  0.250  0.730
Na  0.268  0.750  0.469
Na  0.732  0.250  0.531
Na  0.892  0.750  0.270
Na  0.970  0.250  0.116
Mg  0.459  0.750  0.102
Mg  0.541  0.250  0.898

Calculated values
Fermi-level density of states in states/eV/atom: 1.323
Calculated formation energy in meV per atom: 22
M_tot in μB/atom: 0.000
Energy above the most stable polymorph in this dataset in kJ/mol of formula units: 0



No. 4
Entry from Alexandria via LeMat-Bulk: a relaxed structure of Ca2Bi10O17 (PBE).

abc: 7.810 7.854 9.908
angles: 90.16 101.24 118.04
Fractional coordinates of all 29 atoms:
Ca  0.000  0.000  0.000
Ca  0.494  0.493  0.999
Bi  0.218  0.107  0.661
Bi  0.228  0.640  0.659
Bi  0.255  0.871  0.307
Bi  0.268  0.376  0.309
Bi  0.500  0.981  0.976
Bi  0.687  0.098  0.658
Bi  0.729  0.592  0.649
Bi  0.760  0.877  0.311
Bi  0.761  0.376  0.303
Bi  0.986  0.493  0.960
O  0.034  0.790  0.585
O  0.084  0.042  0.289
O  0.098  0.539  0.325
O  0.176  0.823  0.091
O  0.195  0.345  0.095
O  0.273  0.161  0.878
O  0.316  0.655  0.884
O  0.400  0.959  0.730
O  0.497  0.256  0.585
O  0.553  0.760  0.604
O  0.585  0.043  0.302
O  0.594  0.548  0.284
O  0.692  0.846  0.094
O  0.706  0.350  0.088
O  0.780  0.115  0.882
O  0.789  0.643  0.872
O  0.927  0.433  0.724

Calculated values
Raw formation energy in meV/atom: -1414
Fermi-level density of states in states/eV/atom: 0.000
M_tot in μB/atom: 0.000
Energy above the most stable polymorph in this dataset in kJ/mol of formula units: 0



No. 5
Entry from Alexandria via LeMat-Bulk: a relaxed structure of CeB4Ir12 (PBE).

abc: 6.795 6.795 6.795
angles: 109.47 109.47 109.47
Fractional coordinates of all 17 atoms:
Ce  0.000  0.000  0.000
B  0.000  0.000  0.500
B  0.000  0.500  0.000
B  0.500  0.000  0.000
B  0.500  0.500  0.500
Ir  0.152  0.829  0.323
Ir  0.171  0.323  0.493
Ir  0.171  0.677  0.848
Ir  0.323  0.152  0.829
Ir  0.323  0.493  0.171
Ir  0.493  0.171  0.323
Ir  0.507  0.829  0.677
Ir  0.677  0.507  0.829
Ir  0.677  0.848  0.171
Ir  0.829  0.323  0.152
Ir  0.829  0.677  0.507
Ir  0.848  0.171  0.677

Calculated values
Fermi-level density of states in states/eV/atom: 1.425
Calculated formation energy in meV per atom: 109
M_tot in μB/atom: 0.000



No. 6
Entry from Alexandria via LeMat-Bulk: a relaxed structure of MgHg4Pb7 (PBE).

abc: 7.801 7.801 11.159
angles: 122.92 122.92 42.28
Fractional coordinates of all 12 atoms:
Mg  0.000  0.000  0.000
Hg  0.282  0.282  0.672
Hg  0.426  0.426  0.226
Hg  0.574  0.574  0.774
Hg  0.718  0.718  0.328
Pb  0.077  0.077  0.327
Pb  0.213  0.213  0.887
Pb  0.354  0.354  0.442
Pb  0.500  0.500  0.000
Pb  0.646  0.646  0.558
Pb  0.787  0.787  0.113
Pb  0.923  0.923  0.673

Calculated values
Fermi-level density of states in states/eV/atom: 0.435
Calculated formation energy in meV per atom: 99
M_tot in μB/atom: 0.000



No. 7
Entry from Alexandria via LeMat-Bulk: a relaxed structure of ScPdO2F (PBE).

abc: 4.040 4.040 4.046
angles: 90.00 90.00 90.00
Fractional coordinates of all 5 atoms:
Sc  0.000  0.000  0.000
Pd  0.500  0.500  0.500
O  0.000  0.500  0.500
O  0.500  0.000  0.500
F  0.500  0.500  0.000

Calculated values
Raw formation energy in meV/atom: -1088
Fermi-level density of states in states/eV/atom: 0.511
M_tot in μB/atom: 0.075



No. 8
Entry from Alexandria via LeMat-Bulk: a relaxed structure of ScPBrO4 (PBE).

abc: 6.207 6.207 6.258
angles: 100.26 100.26 57.21
Fractional coordinates of all 14 atoms:
Sc  0.199  0.199  0.328
Sc  0.801  0.801  0.672
P  0.134  0.134  0.762
P  0.866  0.866  0.238
Br  0.467  0.467  0.815
Br  0.533  0.533  0.185
O  0.008  0.008  0.269
O  0.024  0.616  0.365
O  0.197  0.197  0.003
O  0.384  0.976  0.635
O  0.616  0.024  0.365
O  0.803  0.803  0.997
O  0.976  0.384  0.635
O  0.992  0.992  0.731

Calculated values
Raw formation energy in meV/atom: -2337
M_tot in μB/atom: 0.000



No. 9
Entry from Alexandria via LeMat-Bulk: a relaxed structure of Be3PbAu3 (PBE).

abc: 6.419 6.419 6.419
angles: 90.00 90.00 90.00
Fractional coordinates of all 14 atoms:
Be  0.000  0.250  0.500
Be  0.000  0.750  0.500
Be  0.250  0.500  0.000
Be  0.500  0.000  0.250
Be  0.500  0.000  0.750
Be  0.750  0.500  0.000
Pb  0.000  0.000  0.000
Pb  0.500  0.500  0.500
Au  0.000  0.500  0.250
Au  0.000  0.500  0.750
Au  0.250  0.000  0.500
Au  0.500  0.250  0.000
Au  0.500  0.750  0.000
Au  0.750  0.000  0.500

Calculated values
Fermi-level density of states in states/eV/atom: 0.247
Calculated formation energy in meV per atom: 143
M_tot in μB/atom: 0.000



No. 10
Entry from Alexandria via LeMat-Bulk: a relaxed structure of CaNd2InO (PBE).

abc: 5.002 5.002 4.854
angles: 90.00 90.00 90.00
Fractional coordinates of all 5 atoms:
Ca  0.000  0.000  0.000
Nd  0.000  0.500  0.500
Nd  0.500  0.000  0.500
In  0.500  0.500  0.000
O  0.000  0.000  0.500

Calculated values
Raw formation energy in meV/atom: -1400
Fermi-level density of states in states/eV/atom: 0.385
M_tot in μB/atom: 0.000



No. 11
Entry from Alexandria via LeMat-Bulk: a relaxed structure of KCa2Ni (PBE).

abc: 4.143 4.143 31.105
angles: 90.00 90.00 120.00
Fractional coordinates of all 12 atoms:
K  0.000  0.000  0.000
K  0.333  0.667  0.667
K  0.667  0.333  0.333
Ca  0.000  0.000  0.214
Ca  0.000  0.000  0.786
Ca  0.333  0.667  0.453
Ca  0.333  0.667  0.881
Ca  0.667  0.333  0.119
Ca  0.667  0.333  0.547
Ni  0.000  0.000  0.500
Ni  0.333  0.667  0.167
Ni  0.667  0.333  0.833

Calculated values
Fermi-level density of states in states/eV/atom: 0.593
Calculated formation energy in meV per atom: 62
M_tot in μB/atom: 0.000
Energy above the most stable polymorph in this dataset in kJ/mol of formula units: 0



No. 12
Entry from Alexandria via LeMat-Bulk: a relaxed structure of Sr2ZnTe (PBE).

abc: 8.091 8.091 8.091
angles: 90.00 90.00 90.00
Fractional coordinates of all 16 atoms:
Sr  0.000  0.000  0.000
Sr  0.000  0.500  0.500
Sr  0.250  0.250  0.250
Sr  0.250  0.750  0.750
Sr  0.500  0.000  0.500
Sr  0.500  0.500  0.000
Sr  0.750  0.250  0.750
Sr  0.750  0.750  0.250
Zn  0.000  0.000  0.500
Zn  0.000  0.500  0.000
Zn  0.500  0.000  0.000
Zn  0.500  0.500  0.500
Te  0.250  0.250  0.750
Te  0.250  0.750  0.250
Te  0.750  0.250  0.250
Te  0.750  0.750  0.750

Calculated values
Raw formation energy in meV/atom: -267
Fermi-level density of states in states/eV/atom: 0.585
M_tot in μB/atom: 0.000
Energy above the most stable polymorph in this dataset in kJ/mol of formula units: 212



No. 13
Entry from Alexandria via LeMat-Bulk: a relaxed structure of GdErTe2 (PBE).

abc: 7.572 7.572 7.572
angles: 90.00 90.00 90.00
Fractional coordinates of all 16 atoms:
Gd  0.000  0.000  0.000
Gd  0.000  0.500  0.500
Gd  0.500  0.000  0.500
Gd  0.500  0.500  0.000
Er  0.000  0.000  0.500
Er  0.000  0.500  0.000
Er  0.500  0.000  0.000
Er  0.500  0.500  0.500
Te  0.250  0.250  0.250
Te  0.250  0.250  0.750
Te  0.250  0.750  0.250
Te  0.250  0.750  0.750
Te  0.750  0.250  0.250
Te  0.750  0.250  0.750
Te  0.750  0.750  0.250
Te  0.750  0.750  0.750

Calculated values
Raw formation energy in meV/atom: -1189
Fermi-level density of states in states/eV/atom: 1.034
M_tot in μB/atom: 2.083
Energy above the most stable polymorph in this dataset in kJ/mol of formula units: 50



No. 14
Entry from Alexandria via LeMat-Bulk: a relaxed structure of Tb12Sm6Tm (PBE).

abc: 9.980 9.980 9.980
angles: 112.86 112.86 112.86
Fractional coordinates of all 19 atoms:
Tb  0.000  0.381  0.619
Tb  0.000  0.619  0.381
Tb  0.264  0.264  0.590
Tb  0.264  0.590  0.264
Tb  0.381  0.000  0.619
Tb  0.381  0.619  0.000
Tb  0.411  0.736  0.736
Tb  0.590  0.264  0.264
Tb  0.619  0.000  0.381
Tb  0.619  0.381  0.000
Tb  0.736  0.411  0.736
Tb  0.736  0.736  0.410
Sm  0.115  0.810  0.810
Sm  0.190  0.190  0.885
Sm  0.190  0.885  0.190
Sm  0.810  0.115  0.810
Sm  0.810  0.810  0.115
Sm  0.885  0.190  0.190
Tm  0.500  0.500  0.500

Calculated values
Fermi-level density of states in states/eV/atom: 1.379
Calculated formation energy in meV per atom: 348
M_tot in μB/atom: 0.000
Energy above the most stable polymorph in this dataset in kJ/mol of formula units: 367



No. 15
Entry from Alexandria via LeMat-Bulk: a relaxed structure of NbZnRh2N (PBE).

abc: 4.874 4.874 3.912
angles: 90.00 90.00 90.00
Fractional coordinates of all 5 atoms:
Nb  0.000  0.000  0.000
Zn  0.500  0.500  0.500
Rh  0.000  0.500  0.000
Rh  0.500  0.000  0.000
N  0.000  0.000  0.500

Calculated values
Raw formation energy in meV/atom: 858
Fermi-level density of states in states/eV/atom: 0.981
M_tot in μB/atom: 0.000



No. 16
Entry from Alexandria via LeMat-Bulk: a relaxed structure of TiGa2O5 (PBE).

abc: 5.645 5.645 7.056
angles: 108.11 108.11 52.91
Fractional coordinates of all 16 atoms:
Ti  0.000  0.000  0.000
Ti  0.000  0.000  0.500
Ga  0.361  0.364  0.772
Ga  0.364  0.361  0.272
Ga  0.636  0.639  0.728
Ga  0.639  0.636  0.228
O  0.030  0.338  0.149
O  0.198  0.802  0.250
O  0.248  0.581  0.550
O  0.338  0.030  0.649
O  0.419  0.752  0.950
O  0.581  0.248  0.050
O  0.662  0.970  0.351
O  0.752  0.419  0.450
O  0.802  0.198  0.750
O  0.970  0.662  0.851

Calculated values
Raw formation energy in meV/atom: -2218
Fermi-level density of states in states/eV/atom: 0.000
M_tot in μB/atom: 0.000
Energy above the most stable polymorph in this dataset in kJ/mol of formula units: 30



No. 17
Entry from Alexandria via LeMat-Bulk: a relaxed structure of Rb3PrGa2O6 (PBE).

abc: 6.317 6.317 7.537
angles: 90.00 90.00 120.00
Fractional coordinates of all 12 atoms:
Rb  0.000  0.000  0.000
Rb  0.333  0.667  0.748
Rb  0.667  0.333  0.252
Pr  0.000  0.000  0.500
Ga  0.333  0.667  0.296
Ga  0.667  0.333  0.704
O  0.170  0.340  0.297
O  0.170  0.830  0.297
O  0.340  0.170  0.703
O  0.660  0.830  0.297
O  0.830  0.170  0.703
O  0.830  0.660  0.703

Calculated values
Raw formation energy in meV/atom: -1942
Fermi-level density of states in states/eV/atom: 0.000
M_tot in μB/atom: 0.000



No. 18
Entry from Alexandria via LeMat-Bulk: a relaxed structure of Dy7Tl2Te2 (PBE).

abc: 7.009 7.009 7.296
angles: 97.31 97.31 75.05
Fractional coordinates of all 11 atoms:
Dy  0.000  0.000  0.000
Dy  0.031  0.434  0.274
Dy  0.434  0.031  0.274
Dy  0.492  0.492  0.733
Dy  0.508  0.508  0.267
Dy  0.566  0.969  0.726
Dy  0.969  0.566  0.726
Tl  0.179  0.821  0.500
Tl  0.821  0.179  0.500
Te  0.278  0.278  0.950
Te  0.722  0.722  0.050

Calculated values
Raw formation energy in meV/atom: -349
Fermi-level density of states in states/eV/atom: 0.926
M_tot in μB/atom: 0.000



No. 19
Entry from Alexandria via LeMat-Bulk: a relaxed structure of LaGdDyPu (PBE).

abc: 8.006 8.006 8.006
angles: 90.00 90.00 90.00
Fractional coordinates of all 16 atoms:
La  0.000  0.000  0.000
La  0.000  0.500  0.500
La  0.500  0.000  0.500
La  0.500  0.500  0.000
Gd  0.000  0.000  0.500
Gd  0.000  0.500  0.000
Gd  0.500  0.000  0.000
Gd  0.500  0.500  0.500
Dy  0.250  0.250  0.250
Dy  0.250  0.750  0.750
Dy  0.750  0.250  0.750
Dy  0.750  0.750  0.250
Pu  0.250  0.250  0.750
Pu  0.250  0.750  0.250
Pu  0.750  0.250  0.250
Pu  0.750  0.750  0.750

Calculated values
Fermi-level density of states in states/eV/atom: 2.874
Calculated formation energy in meV per atom: 202
M_tot in μB/atom: 0.083



No. 20
Entry from Alexandria via LeMat-Bulk: a relaxed structure of Li4Ac2Hg3 (PBE).

abc: 8.992 8.992 7.838
angles: 90.00 90.00 134.77
Fractional coordinates of all 18 atoms:
Li  0.165  0.835  0.996
Li  0.207  0.293  0.250
Li  0.293  0.207  0.750
Li  0.335  0.665  0.496
Li  0.665  0.335  0.504
Li  0.707  0.793  0.250
Li  0.793  0.707  0.750
Li  0.835  0.165  0.004
Ac  0.126  0.874  0.425
Ac  0.374  0.626  0.925
Ac  0.626  0.374  0.075
Ac  0.874  0.126  0.575
Hg  0.000  0.000  0.000
Hg  0.029  0.471  0.250
Hg  0.471  0.029  0.750
Hg  0.500  0.500  0.500
Hg  0.529  0.971  0.250
Hg  0.971  0.529  0.750

Calculated values
Fermi-level density of states in states/eV/atom: 0.778
Calculated formation energy in meV per atom: -274
M_tot in μB/atom: 0.000